This record from Alexandria via LeMat-Bulk describes KZrTe after structural relaxation. The functional is PBE.

Output
Relative energy among the computed polymorphs in meV per atom: 625
ΔE_f (raw) in eV/atom: -0.027

Unit cell a=4.9530 b=4.9530 c=5.2777 alpha=90.00 beta=90.00 gamma=120.00
Space group P-6m2 (No. 187)
Unique sites:
K 0.0000 0.0000 0.0000 [1 per cell]
Zr 0.3333 0.6667 0.5000 [1 per cell]
Te 0.6667 0.3333 0.5000 [1 per cell]

***

This record from Alexandria via LeMat-Bulk describes PmErZnAg after structural relaxation. The functional is PBE.

Output
Relative energy among the computed polymorphs in meV per atom: 16
Energy of formation from the pure elements in eV per atom: -0.3038

Unit cell a=7.2754 b=7.2754 c=7.2754 alpha=90.00 beta=90.00 gamma=90.00
Space group F-43m (No. 216)
Unique sites:
Pm 0.0000 0.0000 0.0000 [4 per cell]
Er 0.0000 0.0000 0.5000 [4 per cell]
Zn 0.2500 0.2500 0.7500 [4 per cell]
Ag 0.2500 0.2500 0.2500 [4 per cell]

***

This record from Alexandria via LeMat-Bulk describes Ba2ReTcN4 after structural relaxation. The functional is PBE.

Output
ΔE_f (raw) in eV/atom: -0.364

Unit cell a=5.1592 b=11.8096 c=19.9580 alpha=90.00 beta=90.00 gamma=90.00
Space group Fddd (No. 70, origin choice 2)
Unique sites:
Ba 0.1250 0.1250 0.2977 [16 per cell]
Re 0.1250 0.1250 0.6250 [8 per cell]
Tc 0.1250 0.1250 0.1250 [8 per cell]
N 0.1191 0.2811 0.8255 [32 per cell]

***

This record from Alexandria via LeMat-Bulk describes Tb2Dy4TmSc after structural relaxation. The functional is PBE.

Output
Energy of formation from the pure elements in eV per atom: 0.0301

Unit cell a=4.9662 b=4.9597 c=9.8840 alpha=90.00 beta=90.01 gamma=90.00
Space group P2/m (No. 10)
Unique sites:
Tb 0.0000 0.0000 0.0000 [1 per cell]
Tb 0.5000 0.5000 0.5000 [1 per cell]
Dy 0.0007 0.5000 0.2538 [2 per cell]
Dy 0.4988 0.0000 0.7460 [2 per cell]
Tm 0.5000 0.5000 0.0000 [1 per cell]
Sc 0.0000 0.0000 0.5000 [1 per cell]

***

no.,total magnetic moment (Bohr magnetons per cell),uncorrected energy (eV/atom),mass density (g/cm3)
1,2.36,-4.29,3.82
2,0.00,-3.66,8.37
3,0.00,-7.86,6.72
4,0.00,-4.78,8.06